{
  "formula": "LiReSi2",
  "functional": "PBEsol",
  "state": "optimized geometry",
  "energy_ev_per_atom": -6.830,
  "e_above_lowest_polymorph_mev_per_atom": 76,
  "space_group": "I4/mmm",
  "cell": [[-3.2464, 2.0862, -0.0040], [0.4234, -2.9163, -3.2277], [-2.0783, -3.2334, 0.3420]],
  "species": ["Re", "Si", "Li", "Si"],
  "frac_coords": [[0.0000, 0.0000, 0.0000], [0.7500, 0.5000, 0.7500], [0.5000, 0.0000, 0.5000], [0.2500, 0.5000, 0.2500]]
}